VASP calculation (PBE with a Hubbard U) on a relaxed Rb2SmMoO6 crystal.

Cell and atoms, written as POSCAR:
```
Rb2SmMoO6
1.0
6.010 0.000 0.000
0.000 6.596 0.000
0.000 -3.298 5.712
O Rb Sm Mo
6 2 1 1
direct
0.202 0.268 0.134 O
0.202 0.866 0.134 O
0.798 0.134 0.268 O
0.798 0.732 0.866 O
0.202 0.866 0.732 O
0.798 0.134 0.866 O
0.093 0.333 0.667 Rb
0.907 0.667 0.333 Rb
0.500 0.000 0.000 Sm
0.000 0.000 0.000 Mo
```

Results
Energy ... -0.4558 Ry/atom
Space group ... P-3m1, No. 164